Entry from Alexandria: a geometry-optimized KTbNiF6 structure (GGA+U).

```
KTbNiF6
1.0
-2.0473 -4.7384 -2.4744
0.2409 0.3732 5.7069
-10.1495 4.3087 0.1467
F Tb Ni K
12 2 2 2
direct
0.3846 0.3628 0.3522
0.6154 0.6372 0.6478
0.0217 0.3846 0.6478
0.6371 0.6154 0.1478
0.6371 0.0217 0.3522
0.3629 0.9783 0.6478
0.6154 0.9783 0.8522
0.9783 0.6154 0.3522
0.3629 0.3846 0.8522
0.9783 0.3628 0.1478
0.3846 0.0217 0.1478
0.0217 0.6372 0.8522
0.3333 0.6667 0.2500
0.6667 0.3333 0.7500
0.3333 0.6667 0.7500
0.6667 0.3333 0.2500
0.0000 0.0000 0.5000
0.0000 0.0000 0.0000
```

The calculation puts the uncorrected energy at -5.343 eV per atom. The calculated volume is 156.5 Å³/f.u.